Record 1
# ScTaRu4 PBE optimized geometry
data_ScTaRu4
_chemical_formula_sum 'Sc4 Ta4 Ru16'
_cell_length_a 7.2741
_cell_length_b 7.2741
_cell_length_c 7.2741
_cell_angle_alpha 90.00
_cell_angle_beta 90.00
_cell_angle_gamma 90.00
_symmetry_space_group_name_H-M 'F -4 3 m'
_symmetry_Int_Tables_number 216
_symmetry_space_group_name_Hall 'F -4 2 3'
loop_
_atom_site_label
_atom_site_type_symbol
_atom_site_fract_x
_atom_site_fract_y
_atom_site_fract_z
Sc1 Sc 0.0000 0.0000 0.0000
Ta1 Ta 0.2500 0.2500 0.2500
Ru1 Ru 0.1252 0.1252 0.6252
# Spin magnetization = 0.000 μB/f.u.
# Energy of formation = -1.1 eV/f.u.

Record 2
# Co2PtPb PBE optimized geometry
data_Co2PtPb
_chemical_formula_sum 'Co2 Pt1 Pb1'
_cell_length_a 3.1285
_cell_length_b 4.0810
_cell_length_c 5.2127
_cell_angle_alpha 90.00
_cell_angle_beta 107.05
_cell_angle_gamma 90.00
_symmetry_space_group_name_H-M 'P 1 m 1'
_symmetry_Int_Tables_number 6
loop_
_symmetry_equiv_pos_as_xyz
'x,y,z'
'x,-y,z'
loop_
_atom_site_label
_atom_site_type_symbol
_atom_site_fract_x
_atom_site_fract_y
_atom_site_fract_z
Co1 Co 0.0000 0.0000 0.0000
Co2 Co 0.1196 0.5000 0.2459
Pt1 Pt 0.4125 0.5000 0.8235
Pb1 Pb 0.7306 0.0000 0.4720
# Spin magnetization = 3.438 μB/f.u.
# Energy of formation = 1.2 eV/f.u.

Record 3
# Ca2MgPt PBE optimized geometry
data_Ca2MgPt
_chemical_formula_sum 'Ca6 Mg3 Pt3'
_cell_length_a 3.9961
_cell_length_b 3.9961
_cell_length_c 26.7656
_cell_angle_alpha 90.00
_cell_angle_beta 90.00
_cell_angle_gamma 120.00
_symmetry_space_group_name_H-M 'R -3 m'
_symmetry_Int_Tables_number 166
_symmetry_space_group_name_Hall '-R 3 2"'
loop_
_atom_site_label
_atom_site_type_symbol
_atom_site_fract_x
_atom_site_fract_y
_atom_site_fract_z
Ca1 Ca 0.0000 0.0000 0.2286
Mg1 Mg 0.0000 0.0000 0.0000
Pt1 Pt 0.0000 0.0000 0.5000
# Spin magnetization = 0.004 μB/f.u.
# Energy of formation = -1.5 eV/f.u.

Record 4
# NdSnRh PBE optimized geometry
data_NdSnRh
_chemical_formula_sum 'Nd3 Sn3 Rh3'
_cell_length_a 7.4895
_cell_length_b 7.4895
_cell_length_c 4.1715
_cell_angle_alpha 90.00
_cell_angle_beta 90.00
_cell_angle_gamma 120.00
_symmetry_space_group_name_H-M 'P -6 2 m'
_symmetry_Int_Tables_number 189
_symmetry_space_group_name_Hall 'P -6 -2'
loop_
_atom_site_label
_atom_site_type_symbol
_atom_site_fract_x
_atom_site_fract_y
_atom_site_fract_z
Nd1 Nd 0.0000 0.5871 0.0000
Sn1 Sn 0.0000 0.2500 0.5000
Rh1 Rh 0.0000 0.0000 0.0000
Rh2 Rh 0.3333 0.6667 0.5000
# Spin magnetization = 0.000 μB/f.u.
# Energy of formation = -2.6 eV/f.u.

Record 5
# YTiCu PBE optimized geometry
data_YTiCu
_chemical_formula_sum 'Y4 Ti4 Cu4'
_cell_length_a 10.1868
_cell_length_b 3.2608
_cell_length_c 7.4569
_cell_angle_alpha 90.00
_cell_angle_beta 94.60
_cell_angle_gamma 90.00
_symmetry_space_group_name_H-M 'C 1 m 1'
_symmetry_Int_Tables_number 8
loop_
_symmetry_equiv_pos_as_xyz
'x,y,z'
'x,-y,z'
'x+1/2,y+1/2,z'
'x+1/2,-y+1/2,z'
loop_
_atom_site_label
_atom_site_type_symbol
_atom_site_fract_x
_atom_site_fract_y
_atom_site_fract_z
Y1 Y 0.0000 0.0000 0.0000
Y2 Y 0.2380 0.0000 0.6920
Ti1 Ti 0.1291 0.5000 0.3410
Ti2 Ti 0.4084 0.5000 0.4002
Cu1 Cu 0.0087 0.5000 0.6588
Cu2 Cu 0.2875 0.0000 0.1556
# Spin magnetization = 0.000 μB/f.u.
# Energy of formation = 0.2 eV/f.u.
# E above lowest polymorph = 100 meV per atom

Record 6
# TbRhBr PBE optimized geometry
data_TbRhBr
_chemical_formula_sum 'Tb6 Rh6 Br6'
_cell_length_a 4.2683
_cell_length_b 4.2683
_cell_length_c 31.9448
_cell_angle_alpha 90.00
_cell_angle_beta 90.00
_cell_angle_gamma 120.00
_symmetry_space_group_name_H-M 'R -3 m'
_symmetry_Int_Tables_number 166
_symmetry_space_group_name_Hall '-R 3 2"'
loop_
_atom_site_label
_atom_site_type_symbol
_atom_site_fract_x
_atom_site_fract_y
_atom_site_fract_z
Tb1 Tb 0.0000 0.0000 0.0562
Rh1 Rh 0.0000 0.0000 0.3348
Br1 Br 0.0000 0.0000 0.2213
# Spin magnetization = 0.000 μB/f.u.
# E_form (uncorrected) = -117 kJ per mole of atoms

Record 7
# ZrZn2Sb PBE optimized geometry
data_ZrZn2Sb
_chemical_formula_sum 'Zr2 Zn4 Sb2'
_cell_length_a 4.0398
_cell_length_b 4.0398
_cell_length_c 9.3155
_cell_angle_alpha 90.00
_cell_angle_beta 90.00
_cell_angle_gamma 90.00
_symmetry_space_group_name_H-M 'I -4 m 2'
_symmetry_Int_Tables_number 119
_symmetry_space_group_name_Hall 'I -4 -2'
loop_
_atom_site_label
_atom_site_type_symbol
_atom_site_fract_x
_atom_site_fract_y
_atom_site_fract_z
Zr1 Zr 0.0000 0.0000 0.0000
Zn1 Zn 0.0000 0.0000 0.5000
Zn2 Zn 0.0000 0.5000 0.7500
Sb1 Sb 0.0000 0.5000 0.2500
# Spin magnetization = 0.000 μB/f.u.
# E_form (uncorrected) = -31 kJ per mole of atoms

Record 8
# Pu2Pa3Al PBE optimized geometry
data_Pu2Pa3Al
_chemical_formula_sum 'Pu4 Pa6 Al2'
_cell_length_a 6.4167
_cell_length_b 4.2952
_cell_length_c 10.0321
_cell_angle_alpha 90.00
_cell_angle_beta 107.54
_cell_angle_gamma 90.00
_symmetry_space_group_name_H-M 'P 1 21/m 1'
_symmetry_Int_Tables_number 11
loop_
_symmetry_equiv_pos_as_xyz
'x,y,z'
'-x,-y,-z'
'-x,y+1/2,-z'
'x,-y+1/2,z'
loop_
_atom_site_label
_atom_site_type_symbol
_atom_site_fract_x
_atom_site_fract_y
_atom_site_fract_z
Pu1 Pu 0.0060 0.2500 0.4448
Pu2 Pu 0.4094 0.2500 0.0844
Pa1 Pa 0.1045 0.7500 0.9117
Pa2 Pa 0.2261 0.7500 0.2565
Pa3 Pa 0.4170 0.7500 0.5845
Al1 Al 0.2712 0.2500 0.7524
# Spin magnetization = 5.259 μB/f.u.
# Energy of formation = -0.1 eV/f.u.

- Number 1 is which compound?
  ScTaRu4